one | Below is a geometry-optimized RbTlHg2Pd structure, with properties calculated at the PBE level.

```
RbTlHg2Pd
1.0
6.374 0.000 0.000
0.000 5.651 0.000
0.000 0.000 6.374
Hg Pd Rb Tl
2 1 1 1
direct
0.500 0.000 0.000 Hg
0.000 0.000 0.500 Hg
0.000 0.500 0.000 Pd
0.000 0.000 0.000 Rb
0.500 0.500 0.500 Tl
```

As for the calculated density: 5.8 Mg/m³.



two | Below is a geometry-optimized RbTlHg2Pd structure, with properties calculated at the PBE level.

```
RbTlHg2Pd
1.0
-4.147 -1.242 3.339
0.270 -5.219 -1.606
3.477 -1.031 3.935
Hg Pd Tl Rb
2 1 1 1
direct
0.500 0.000 0.000 Hg
0.000 0.500 0.000 Hg
0.000 0.000 0.000 Pd
0.000 0.000 0.500 Tl
0.500 0.500 0.500 Rb
```

As for the calculated density: 8.3 Mg/m³.



Which structure is the most stable? The one labeled two.



one | Below is a geometry-optimized ReHgPd3 structure, with properties calculated at the PBE level.

```
ReHgPd3
1.0
-1.678 3.334 -3.279
1.583 -2.873 -3.731
-4.400 -2.306 -0.092
Re Hg Pd
1 1 3
direct
0.500 0.500 0.500 Re
0.000 0.000 0.000 Hg
0.500 0.000 0.000 Pd
0.000 0.500 0.000 Pd
0.000 0.000 0.500 Pd
```

As for the calculated density: 9.6 Mg/m³.



two | Below is a geometry-optimized ReHgPd3 structure, with properties calculated at the PBE level.

```
ReHgPd3
1.0
-3.408 3.043 -1.609
1.101 -1.182 -4.567
-3.262 -3.578 0.140
Pd Re Hg
3 1 1
direct
0.500 0.000 0.000 Pd
0.000 0.000 0.500 Pd
0.000 0.500 0.000 Pd
0.000 0.000 0.000 Re
0.500 0.500 0.500 Hg
```

As for the calculated density: 10.3 Mg/m³.



Which structure is the most stable? The one labeled two.



one | Below is a geometry-optimized ZrHg2PdRu structure, with properties calculated at the PBE level.

```
ZrHg2PdRu
1.0
-2.476 4.257 -0.993
-3.085 -2.488 -2.972
-3.053 -0.867 3.895
Hg Pd Zr Ru
2 1 1 1
direct
0.500 0.000 0.000 Hg
0.000 0.000 0.500 Hg
0.000 0.000 0.000 Pd
0.000 0.500 0.000 Zr
0.500 0.500 0.500 Ru
```

As for the calculated density: 9.3 Mg/m³.



two | Below is a geometry-optimized ZrHg2PdRu structure, with properties calculated at the PBE level.

```
ZrHg2PdRu
1.0
5.479 0.000 0.000
0.000 4.650 0.000
0.000 0.000 5.479
Ru Hg Pd Zr
1 2 1 1
direct
0.000 0.500 0.000 Ru
0.000 0.000 0.500 Hg
0.500 0.000 0.000 Hg
0.500 0.500 0.500 Pd
0.000 0.000 0.000 Zr
```

As for the calculated density: 8.3 Mg/m³.



Which structure is the most stable? The one labeled one.



one | Below is a geometry-optimized Hg2Sb2Pd structure, with properties calculated at the PBE level.

```
Hg2Sb2Pd
1.0
-3.443 5.315 2.737
-3.118 1.098 -6.055
-4.386 -3.662 1.594
Sb Pd Hg
4 2 4
direct
0.650 0.150 0.000 Sb
0.150 0.350 0.000 Sb
0.350 0.850 0.000 Sb
0.850 0.650 0.000 Sb
0.500 0.500 0.000 Pd
0.000 0.000 0.000 Pd
0.161 0.339 0.500 Hg
0.839 0.661 0.500 Hg
0.661 0.161 0.500 Hg
0.339 0.839 0.500 Hg
```

As for the calculated density: 8.8 Mg/m³.



two | Below is a geometry-optimized Hg2Sb2Pd structure, with properties calculated at the PBE level.

```
Hg2Sb2Pd
1.0
7.368 0.000 0.000
0.000 7.368 0.000
0.000 0.000 4.489
Pd Hg Sb
2 4 4
direct
0.000 0.000 0.000 Pd
0.500 0.500 0.000 Pd
0.846 0.654 0.000 Hg
0.154 0.346 0.000 Hg
0.346 0.846 0.000 Hg
0.654 0.154 0.000 Hg
0.847 0.347 0.500 Sb
0.153 0.653 0.500 Sb
0.653 0.847 0.500 Sb
0.347 0.153 0.500 Sb
```

As for the calculated density: 10.2 Mg/m³.



Which structure is the most stable? The one labeled one.



one | Below is a geometry-optimized HgSbPd2 structure, with properties calculated at the PBE level.

```
HgSbPd2
1.0
5.754 0.000 0.004
0.000 7.100 0.000
-0.005 0.000 8.239
Sb Pd Hg
4 8 4
direct
0.750 0.574 0.378 Sb
0.250 0.426 0.622 Sb
0.750 0.074 0.622 Sb
0.250 0.926 0.378 Sb
0.500 0.750 0.615 Pd
0.500 0.250 0.847 Pd
0.500 0.750 0.153 Pd
0.000 0.250 0.847 Pd
0.000 0.250 0.385 Pd
0.000 0.750 0.153 Pd
0.500 0.250 0.385 Pd
0.000 0.750 0.615 Pd
0.250 0.904 0.890 Hg
0.750 0.096 0.110 Hg
0.750 0.596 0.890 Hg
0.250 0.404 0.110 Hg
```

As for the calculated density: 10.6 Mg/m³.



two | Below is a geometry-optimized HgSbPd2 structure, with properties calculated at the PBE level.

```
HgSbPd2
1.0
-3.297 0.299 0.676
0.445 -1.667 2.905
1.154 5.719 3.105
Hg Sb Pd
1 1 2
direct
0.500 0.500 0.500 Hg
0.500 0.500 0.000 Sb
0.000 0.000 0.757 Pd
0.000 0.000 0.243 Pd
```

As for the calculated density: 11.8 Mg/m³.



Which structure is the most stable? The one labeled one.



one | Below is a geometry-optimized HgSbPd2 structure, with properties calculated at the PBE level.

```
HgSbPd2
1.0
3.317 0.000 0.000
1.659 2.873 0.000
1.659 0.958 8.262
Sb Pd Hg
1 2 1
direct
0.667 0.667 0.999 Sb
0.079 0.079 0.762 Pd
0.254 0.254 0.238 Pd
0.500 0.500 0.501 Hg
```

As for the calculated density: 11.3 Mg/m³.



two | Below is a geometry-optimized HgSbPd2 structure, with properties calculated at the PBE level.

```
HgSbPd2
1.0
0.000 3.343 3.343
3.343 0.000 3.343
3.343 3.343 0.000
Hg Pd Sb
1 2 1
direct
0.500 0.500 0.500 Hg
0.750 0.750 0.750 Pd
0.250 0.250 0.250 Pd
0.000 0.000 0.000 Sb
```

As for the calculated density: 11.9 Mg/m³.



three | Below is a geometry-optimized HgSbPd2 structure, with properties calculated at the PBE level.

```
HgSbPd2
1.0
-5.341 -0.187 -5.215
-1.487 -7.098 1.777
-5.388 -2.731 0.270
Sb Pd Hg
2 4 2
direct
0.250 0.750 0.500 Sb
0.500 0.500 0.000 Sb
0.875 0.859 0.750 Pd
0.141 0.625 0.250 Pd
0.609 0.125 0.250 Pd
0.375 0.391 0.750 Pd
0.000 0.000 0.000 Hg
0.750 0.250 0.500 Hg
```

As for the calculated density: 10.8 Mg/m³.



Which structure is the most stable? The one labeled two.



one | Below is a geometry-optimized HgSbPd5 structure, with properties calculated at the PBE level.

```
HgSbPd5
1.0
4.929 -1.171 -1.425
0.454 5.046 -1.425
0.207 0.149 9.509
Pd Sb Hg
10 2 2
direct
0.021 0.388 0.839 Pd
0.388 0.021 0.339 Pd
0.164 0.836 0.750 Pd
0.236 0.532 0.464 Pd
0.764 0.468 0.536 Pd
0.612 0.979 0.661 Pd
0.532 0.236 0.964 Pd
0.468 0.764 0.036 Pd
0.836 0.164 0.250 Pd
0.979 0.612 0.161 Pd
0.507 0.493 0.750 Sb
0.493 0.507 0.250 Sb
0.000 0.000 0.500 Hg
0.000 0.000 0.000 Hg
```

As for the calculated density: 11.6 Mg/m³.



two | Below is a geometry-optimized HgSbPd5 structure, with properties calculated at the PBE level.

```
HgSbPd5
1.0
4.134 0.000 0.000
0.000 4.134 0.000
0.000 0.000 7.336
Pd Sb Hg
5 1 1
direct
0.000 0.500 0.775 Pd
0.000 0.500 0.225 Pd
0.500 0.000 0.775 Pd
0.500 0.000 0.225 Pd
0.500 0.500 0.500 Pd
0.500 0.500 0.000 Sb
0.000 0.000 0.500 Hg
```

As for the calculated density: 11.3 Mg/m³.



Which structure is the most stable? The one labeled two.



one | Below is a geometry-optimized HgSb2Pd7 structure, with properties calculated at the PBE level.

```
HgSb2Pd7
1.0
4.337 0.000 0.000
0.000 7.632 -0.381
0.000 -3.708 6.681
Pd Sb Hg
7 2 1
direct
0.000 0.204 0.796 Pd
0.000 0.796 0.204 Pd
0.500 0.500 0.500 Pd
0.500 0.293 0.075 Pd
0.500 0.925 0.707 Pd
0.500 0.075 0.293 Pd
0.500 0.707 0.925 Pd
0.500 0.695 0.305 Sb
0.500 0.305 0.695 Sb
0.000 0.000 0.000 Hg
```

As for the calculated density: 9.2 Mg/m³.



two | Below is a geometry-optimized HgSb2Pd7 structure, with properties calculated at the PBE level.

```
HgSb2Pd7
1.0
4.020 0.000 -0.774
-0.149 4.017 -0.774
0.109 0.113 11.398
Pd Hg Sb
7 1 2
direct
0.250 0.750 0.500 Pd
0.593 0.093 0.186 Pd
0.500 0.500 0.000 Pd
0.407 0.907 0.814 Pd
0.093 0.593 0.186 Pd
0.907 0.407 0.814 Pd
0.750 0.250 0.500 Pd
0.000 0.000 0.000 Hg
0.331 0.331 0.662 Sb
0.669 0.669 0.338 Sb
```

As for the calculated density: 10.7 Mg/m³.



Which structure is the most stable? The one labeled two.



one | Below is a geometry-optimized HgSbPd3 structure, with properties calculated at the PBE level.

```
HgSbPd3
1.0
-1.561 3.843 -2.563
-2.076 1.468 5.061
6.342 1.680 2.989
Sb Pd Hg
2 6 2
direct
0.473 0.785 0.380 Sb
0.779 0.218 0.082 Sb
0.218 0.324 0.937 Pd
0.035 0.679 0.525 Pd
0.721 0.710 0.109 Pd
0.626 0.502 0.731 Pd
0.626 0.002 0.731 Pd
0.532 0.293 0.354 Pd
0.156 0.810 0.913 Hg
0.097 0.193 0.549 Hg
```

As for the calculated density: 11.4 Mg/m³.



two | Below is a geometry-optimized HgSbPd3 structure, with properties calculated at the PBE level.

```
HgSbPd3
1.0
-3.861 0.409 1.506
3.914 -4.021 5.369
1.351 5.938 1.851
Pd Hg Sb
6 2 2
direct
0.779 0.558 0.344 Pd
0.221 0.442 0.656 Pd
0.318 0.637 0.080 Pd
0.855 0.710 0.789 Pd
0.682 0.363 0.920 Pd
0.145 0.290 0.211 Pd
0.044 0.088 0.804 Hg
0.956 0.912 0.196 Hg
0.383 0.767 0.534 Sb
0.617 0.233 0.466 Sb
```

As for the calculated density: 10.9 Mg/m³.



three | Below is a geometry-optimized HgSbPd3 structure, with properties calculated at the PBE level.

```
HgSbPd3
1.0
-4.309 -0.564 -2.367
2.433 -0.869 -4.221
0.065 -4.839 1.034
Pd Sb Hg
3 1 1
direct
0.500 0.000 0.000 Pd
0.000 0.500 0.000 Pd
0.000 0.000 0.500 Pd
0.000 0.000 0.000 Sb
0.500 0.500 0.500 Hg
```

As for the calculated density: 8.8 Mg/m³.



Which structure is the most stable? The one labeled one.



one | Below is a geometry-optimized Hg2SbPd8 structure, with properties calculated at the PBE level.

```
Hg2SbPd8
1.0
-3.952 -1.590 3.055
-5.453 -5.399 -1.133
1.089 -7.108 2.074
Pd Hg Sb
8 2 1
direct
0.895 0.106 0.218 Pd
0.669 0.602 0.000 Pd
0.500 0.215 0.569 Pd
0.331 0.398 0.000 Pd
0.105 0.894 0.782 Pd
0.500 0.785 0.431 Pd
0.105 0.677 0.218 Pd
0.895 0.323 0.782 Pd
0.000 0.303 0.394 Hg
0.000 0.697 0.606 Hg
0.500 0.000 0.000 Sb
```

As for the calculated density: 11.6 Mg/m³.



two | Below is a geometry-optimized Hg2SbPd8 structure, with properties calculated at the PBE level.

```
Hg2SbPd8
1.0
4.802 -0.245 -0.545
-0.804 5.252 -1.226
0.506 0.233 7.547
Pd Sb Hg
8 1 2
direct
0.691 0.732 0.567 Pd
0.947 0.737 0.961 Pd
0.240 0.975 0.695 Pd
0.053 0.263 0.039 Pd
0.612 0.488 0.184 Pd
0.760 0.025 0.305 Pd
0.309 0.268 0.433 Pd
0.388 0.512 0.816 Pd
0.500 0.000 0.000 Sb
0.170 0.711 0.335 Hg
0.830 0.289 0.665 Hg
```

As for the calculated density: 11.9 Mg/m³.



Which structure is the most stable? The one labeled two.



one | Below is a geometry-optimized ScHgPd5 structure, with properties calculated at the PBE level.

```
ScHgPd5
1.0
-3.979 0.363 -0.002
-0.314 -3.458 -1.977
-0.356 -3.860 6.806
Pd Sc Hg
5 1 1
direct
0.500 0.000 0.768 Pd
0.500 0.500 0.500 Pd
0.000 0.500 0.768 Pd
0.500 0.000 0.232 Pd
0.000 0.500 0.232 Pd
0.500 0.500 0.000 Sc
0.000 0.000 0.500 Hg
```

As for the calculated density: 10.3 Mg/m³.



two | Below is a geometry-optimized ScHgPd5 structure, with properties calculated at the PBE level.

```
ScHgPd5
1.0
-4.539 1.183 2.388
-1.666 -2.742 4.173
4.417 6.364 6.883
Pd Hg Sc
10 2 2
direct
0.306 0.385 0.554 Pd
0.615 0.694 0.946 Pd
0.805 0.195 0.250 Pd
0.819 0.698 0.182 Pd
0.694 0.615 0.446 Pd
0.195 0.805 0.750 Pd
0.181 0.302 0.818 Pd
0.385 0.306 0.054 Pd
0.302 0.181 0.318 Pd
0.698 0.819 0.682 Pd
0.000 0.000 0.000 Hg
0.000 0.000 0.500 Hg
0.684 0.316 0.750 Sc
0.316 0.684 0.250 Sc
```

As for the calculated density: 10.5 Mg/m³.



Which structure is the most stable? The one labeled two.